Ho2ScF: relaxed, GGA-PBE.

abc: 8.414 8.414 8.414
angles: 24.68 24.68 24.68
Fractional coordinates of all 4 atoms:
Ho1 0.226 0.226 0.226
Ho2 0.774 0.774 0.774
Sc1 0.000 0.000 0.000
F1 0.500 0.500 0.500

Summary:
* electronic total energy: -5.443 eV/atom
* density of states at the Fermi level: 3.506 states/eV/f.u.
* space group: R-3m, No. 166
* formation energy (no corrections): -1.103 eV per atom

---

YZr2Sc6: relaxed, GGA-PBE.

abc: 3.310 3.310 23.899
angles: 90.00 90.00 120.00
Fractional coordinates of all 9 atoms:
Y1 0.000 0.000 0.000
Zr1 0.333 0.667 0.333
Zr2 0.333 0.667 0.667
Sc1 0.000 0.000 0.226
Sc2 0.000 0.000 0.436
Sc3 0.000 0.000 0.564
Sc4 0.000 0.000 0.774
Sc5 0.333 0.667 0.117
Sc6 0.333 0.667 0.883

Summary:
* calculated formation energy: 0.47 eV/f.u.
* electronic total energy: -6.787 eV/atom
* density of states at the Fermi level: 16.391 states/eV/f.u.
* space group: P-6m2, No. 187
* excess energy over the best structure of this formula in the dataset: 0.000 eV per atom

---

NaTiAs2: relaxed, GGA-PBE.

abc: 7.988 7.988 7.988
angles: 25.43 25.43 25.43
Fractional coordinates of all 4 atoms:
Na1 0.000 0.000 0.000
Ti1 0.500 0.500 0.500
As1 0.237 0.237 0.237
As2 0.763 0.763 0.763

Summary:
* calculated formation energy: -2.19 eV/f.u.
* electronic total energy: -5.176 eV/atom
* density of states at the Fermi level: 1.343 states/eV/f.u.
* space group: R-3m, No. 166
* excess energy over the best structure of this formula in the dataset: 0.000 eV per atom

---

Tm5BeSe4: relaxed, GGA-PBE.

abc: 6.961 6.961 6.961
angles: 99.52 99.52 132.01
Fractional coordinates of all 10 atoms:
Tm1 0.000 0.000 0.000
Tm2 0.219 0.595 0.814
Tm3 0.405 0.219 0.625
Tm4 0.595 0.781 0.375
Tm5 0.781 0.405 0.186
Be1 0.500 0.500 0.000
Se1 0.093 0.306 0.398
Se2 0.306 0.907 0.213
Se3 0.694 0.093 0.787
Se4 0.907 0.694 0.602

Summary:
* electronic total energy: -5.382 eV/atom
* density of states at the Fermi level: 2.856 states/eV/f.u.
* space group: I4/m, No. 87
* formation energy (no corrections): -1.380 eV per atom